No. 1
Below is a relaxed structure of Hg2IBr3, with properties calculated at the PBE-GGA level.

Calculated values
Energy (eV per atom): -1.589

Geometry as POSCAR:
```
Hg2IBr3
1.0
4.2765 0.0000 0.0000
0.0000 4.3679 0.0000
0.0000 0.0000 12.3834
Hg I Br
2 1 3
Direct
0.0000 0.0000 0.0000
0.5000 0.5000 0.4941
0.5000 0.0000 0.6385
0.0000 0.5000 0.3614
0.0000 0.5000 0.8726
0.5000 0.0000 0.1296
```

---

No. 2
Below is a relaxed structure of HgIBr, with properties calculated at the PBE-GGA level.

Calculated values
Energy (eV per atom): -1.534

Geometry as POSCAR:
```
HgIBr
1.0
4.3105 0.0000 0.0000
0.0000 4.4719 0.0000
0.0000 0.0000 12.5554
Hg I Br
2 2 2
Direct
0.2500 0.2500 0.2447
0.7500 0.7500 0.7553
0.2500 0.7500 0.3846
0.7500 0.2500 0.6154
0.2500 0.7500 0.8856
0.7500 0.2500 0.1144
```

---

No. 3
Below is a relaxed structure of HgIBr, with properties calculated at the PBE-GGA level.

Calculated values
Energy (eV per atom): -1.532

Geometry as POSCAR:
```
HgIBr
1.0
4.3832 0.0000 0.0000
0.0000 4.3832 0.0000
0.0000 0.0000 12.3912
Hg I Br
2 2 2
Direct
0.0000 0.5000 0.0000
0.5000 0.0000 0.5000
0.0000 0.0000 0.3565
0.0000 0.0000 0.8565
0.5000 0.5000 0.1300
0.5000 0.5000 0.6300
```

---

No. 4
Below is a relaxed structure of Hg2IBr, with properties calculated at the PBE-GGA level.

Calculated values
Energy (eV per atom): -1.275

Geometry as POSCAR:
```
Hg2IBr
1.0
-2.4597 2.4597 5.7870
2.4597 -2.4597 5.7870
2.4597 2.4597 -5.7870
Hg I Br
2 1 1
Direct
0.0000 0.0000 0.0000
0.2289 0.2289 0.0000
0.7611 0.7611 0.0000
0.4555 0.4555 0.0000
```

---

No. 5
Below is a relaxed structure of HgIBr, with properties calculated at the PBE-GGA level.

Calculated values
Energy (eV per atom): -1.530

Geometry as POSCAR:
```
HgIBr
1.0
4.3763 0.0000 0.0000
0.0000 4.3763 0.0000
0.0000 0.0000 12.3507
Hg I Br
2 2 2
Direct
0.0000 0.0000 0.0000
0.5000 0.5000 0.5000
0.0000 0.5000 0.6473
0.5000 0.0000 0.3527
0.0000 0.5000 0.1274
0.5000 0.0000 0.8726
```

---

No. 6
Below is a relaxed structure of Hg2I3Br, with properties calculated at the PBE-GGA level.

Calculated values
Energy (eV per atom): -1.477

Geometry as POSCAR:
```
Hg2I3Br
1.0
4.3965 0.0000 0.0000
0.0000 4.4809 0.0000
0.0000 0.0000 12.6224
Hg I Br
2 3 1
Direct
0.0000 0.0000 0.0000
0.5000 0.5000 0.4950
0.0000 0.5000 0.3522
0.0000 0.5000 0.8623
0.5000 0.0000 0.6371
0.5000 0.0000 0.1267
```

---

No. 7
Below is a relaxed structure of Tl5Hg2I4Br5, with properties calculated at the PBE-GGA level.

Calculated values
Energy (eV per atom): -2.308

Geometry as POSCAR:
```
Tl5Hg2I4Br5
1.0
-4.3222 4.3222 15.2319
4.3222 -4.3222 15.2319
4.3222 4.3222 -15.2319
Tl Hg I Br
10 4 8 10
Direct
0.1080 0.1080 0.0000
0.1501 0.6501 0.8001
0.2500 0.2500 0.0000
0.3499 0.1501 0.5000
0.3920 0.3920 0.0000
0.6080 0.6080 0.0000
0.6501 0.8499 0.5000
0.7500 0.7500 0.0000
0.8499 0.3499 0.1999
0.8920 0.8920 0.0000
0.1425 0.6425 0.5000
0.3575 0.8575 0.5000
0.6425 0.1425 0.5000
0.8575 0.3575 0.5000
0.0028 0.5028 0.8859
0.1169 0.0028 0.5000
0.3831 0.8831 0.8859
0.4972 0.3831 0.5000
0.5028 0.6169 0.5000
0.6169 0.1169 0.1141
0.8831 0.9972 0.5000
0.9972 0.4972 0.1141
0.0000 0.0000 0.0000
0.0816 0.2674 0.5000
0.2326 0.4184 0.5000
0.2674 0.7674 0.1858
0.4184 0.9184 0.1858
0.5000 0.5000 0.0000
0.5816 0.0816 0.8142
0.7326 0.2326 0.8142
0.7674 0.5816 0.5000
0.9184 0.7326 0.5000
```

---

No. 8
Below is a relaxed structure of K2InHgBr6, with properties calculated at the PBE-GGA level.

Calculated values
Energy (eV per atom): -2.563

Geometry as POSCAR:
```
K2InHgBr6
1.0
0.0000 5.6522 5.6522
5.6522 0.0000 5.6522
5.6522 5.6522 0.0000
K In Hg Br
2 1 1 6
Direct
0.2500 0.2500 0.2500
0.7500 0.7500 0.7500
0.0000 0.0000 0.0000
0.5000 0.5000 0.5000
0.2432 0.2432 0.7568
0.2432 0.7568 0.2432
0.2432 0.7568 0.7568
0.7568 0.2432 0.2432
0.7568 0.2432 0.7568
0.7568 0.7568 0.2432
```

---

No. 9
Below is a relaxed structure of YInHg2Br6, with properties calculated at the PBE-GGA level.

Calculated values
Total magnetic moment (μB per formula unit): 0.004
Energy (eV per atom): -2.854

Geometry as POSCAR:
```
YInHg2Br6
1.0
0.0000 5.5083 5.5083
5.5083 0.0000 5.5083
5.5083 5.5083 0.0000
Y In Hg Br
1 1 2 6
Direct
0.0000 0.0000 0.0000
0.5000 0.5000 0.5000
0.2500 0.2500 0.2500
0.7500 0.7500 0.7500
0.2537 0.2537 0.7463
0.2537 0.7463 0.2537
0.2537 0.7463 0.7463
0.7463 0.2537 0.2537
0.7463 0.2537 0.7463
0.7463 0.7463 0.2537
```

---

No. 10
Below is a relaxed structure of K2Hg3Br8, with properties calculated at the PBE-GGA level.

Calculated values
Energy (eV per atom): -2.117

Geometry as POSCAR:
```
K2Hg3Br8
1.0
7.3923 -5.2446 0.0000
7.3923 5.2446 0.0000
-1.8182 0.0000 6.7699
K Hg Br
2 3 8
Direct
0.2105 0.2105 0.0123
0.7895 0.7895 0.9877
0.1934 0.8066 0.5000
0.5000 0.5000 0.0000
0.8066 0.1934 0.5000
0.1073 0.1073 0.3813
0.1642 0.6119 0.1770
0.3591 0.3591 0.7130
0.3881 0.8358 0.8230
0.6119 0.1642 0.1770
0.6409 0.6409 0.2870
0.8358 0.3881 0.8230
0.8927 0.8927 0.6187
```

---

No. 11
Below is a relaxed structure of K2LiHgBr6, with properties calculated at the PBE-GGA level.

Calculated values
Offset from the most stable computed form (meV/atom): 0

Geometry as POSCAR:
```
K2LiHgBr6
1.0
6.7040 -3.5665 0.0000
6.7040 3.5665 0.0000
-4.8455 0.0000 6.5327
K Li Hg Br
2 1 1 6
Direct
0.2435 0.2435 0.2433
0.7565 0.7565 0.7567
0.5000 0.5000 0.0000
0.0000 0.0000 0.5000
0.2109 0.6866 0.1985
0.2496 0.2496 0.6570
0.3134 0.7891 0.8015
0.6866 0.2109 0.1985
0.7504 0.7504 0.3430
0.7891 0.3134 0.8015
```

---

No. 12
Below is a relaxed structure of K2LiHgBr6, with properties calculated at the PBE-GGA level.

Calculated values
Offset from the most stable computed form (meV/atom): 25

Geometry as POSCAR:
```
K2LiHgBr6
1.0
0.0000 5.4387 5.4387
5.4387 0.0000 5.4387
5.4387 5.4387 0.0000
K Li Hg Br
2 1 1 6
Direct
0.2500 0.2500 0.2500
0.7500 0.7500 0.7500
0.0000 0.0000 0.0000
0.5000 0.5000 0.5000
0.2459 0.2459 0.7541
0.2459 0.7541 0.2459
0.2459 0.7541 0.7541
0.7541 0.2459 0.2459
0.7541 0.2459 0.7541
0.7541 0.7541 0.2459
```